Entry 1:
# UIn2Sb | the Alexandria database | PBE | optimized geometry
# Calculated density = 9.8 Mg/m³
# Fermi-level density of states = 1.7556 states/eV per atom
# ΔE_f (raw) = -114.6 meV/atom
data_UIn2Sb
_cell_length_a 4.4693
_cell_length_b 4.4693
_cell_length_c 4.9900
_cell_angle_alpha 90.00
_cell_angle_beta 90.00
_cell_angle_gamma 90.00
_symmetry_space_group_name_H-M 'P 4/m m m'
_symmetry_Int_Tables_number 123
_symmetry_space_group_name_Hall '-P 4 2'
loop_
_atom_site_label
_atom_site_type_symbol
_atom_site_fract_x
_atom_site_fract_y
_atom_site_fract_z
U1 U 0.0000 0.0000 0.0000
In1 In 0.0000 0.5000 0.5000
Sb1 Sb 0.5000 0.5000 0.0000

***

Entry 2:
# UInSb | the Alexandria database | PBE | optimized geometry
# Calculated density = 10.7 Mg/m³
# Fermi-level density of states = 1.5516 states/eV per atom
# ΔE_f (raw) = -114.3 meV/atom
data_UInSb
_cell_length_a 10.6589
_cell_length_b 3.8428
_cell_length_c 7.3008
_cell_angle_alpha 90.00
_cell_angle_beta 101.15
_cell_angle_gamma 90.00
_symmetry_space_group_name_H-M 'C 1 2/m 1'
_symmetry_Int_Tables_number 12
loop_
_symmetry_equiv_pos_as_xyz
'x,y,z'
'-x,-y,-z'
'-x,y,-z'
'x,-y,z'
'x+1/2,y+1/2,z'
'-x+1/2,-y+1/2,-z'
'-x+1/2,y+1/2,-z'
'x+1/2,-y+1/2,z'
loop_
_atom_site_label
_atom_site_type_symbol
_atom_site_fract_x
_atom_site_fract_y
_atom_site_fract_z
U1 U 0.1940 0.0000 0.0657
In1 In 0.1552 0.0000 0.5724
Sb1 Sb 0.0026 0.5000 0.7876

***

Entry 3:
# UInSb2 | the Alexandria database | PBE | optimized geometry
# Calculated density = 9.0 Mg/m³
# Fermi-level density of states = 1.9318 states/eV per atom
# ΔE_f (raw) = 357.9 meV/atom
data_UInSb2
_cell_length_a 3.1975
_cell_length_b 3.1975
_cell_length_c 37.3895
_cell_angle_alpha 90.00
_cell_angle_beta 90.00
_cell_angle_gamma 120.00
_symmetry_space_group_name_H-M 'R -3 m'
_symmetry_Int_Tables_number 166
_symmetry_space_group_name_Hall '-R 3 2"'
loop_
_atom_site_label
_atom_site_type_symbol
_atom_site_fract_x
_atom_site_fract_y
_atom_site_fract_z
U1 U 0.0000 0.0000 0.0000
In1 In 0.0000 0.0000 0.5000
Sb1 Sb 0.0000 0.0000 0.0847

***

Entry 4:
# V2In2Sb | the Alexandria database | PBE | optimized geometry
# Calculated density = 7.3 Mg/m³
# Fermi-level density of states = 1.1843 states/eV per atom
# ΔE_f (raw) = 400.5 meV/atom
data_V2In2Sb
_cell_length_a 3.9136
_cell_length_b 3.9136
_cell_length_c 13.3724
_cell_angle_alpha 90.00
_cell_angle_beta 90.00
_cell_angle_gamma 90.00
_symmetry_space_group_name_H-M 'I 4/m m m'
_symmetry_Int_Tables_number 139
_symmetry_space_group_name_Hall '-I 4 2'
loop_
_atom_site_label
_atom_site_type_symbol
_atom_site_fract_x
_atom_site_fract_y
_atom_site_fract_z
V1 V 0.0000 0.0000 0.0854
In1 In 0.0000 0.5000 0.2500
Sb1 Sb 0.0000 0.0000 0.5000

***

Entry 5:
# VInSb2 | the Alexandria database | PBE | optimized geometry
# Calculated density = 5.2 Mg/m³
# Fermi-level density of states = 0.4758 states/eV per atom
# ΔE_f (raw) = 255.9 meV/atom
data_VInSb2
_cell_length_a 6.3463
_cell_length_b 6.3463
_cell_length_c 13.0805
_cell_angle_alpha 90.00
_cell_angle_beta 90.00
_cell_angle_gamma 90.00
_symmetry_space_group_name_H-M 'I -4 2 d'
_symmetry_Int_Tables_number 122
_symmetry_space_group_name_Hall 'I -4 2bw'
loop_
_atom_site_label
_atom_site_type_symbol
_atom_site_fract_x
_atom_site_fract_y
_atom_site_fract_z
V1 V 0.0000 0.0000 0.0000
In1 In 0.0000 0.0000 0.5000
Sb1 Sb 0.2187 0.2500 0.1250

***

Entry 6:
# V2In2Sb | the Alexandria database | PBE | optimized geometry
# Calculated density = 7.5 Mg/m³
# Fermi-level density of states = 0.7583 states/eV per atom
# ΔE_f (raw) = 150.4 meV/atom
data_V2In2Sb
_cell_length_a 6.7328
_cell_length_b 6.7328
_cell_length_c 4.4038
_cell_angle_alpha 90.00
_cell_angle_beta 90.00
_cell_angle_gamma 90.00
_symmetry_space_group_name_H-M 'P 4/m b m'
_symmetry_Int_Tables_number 127
_symmetry_space_group_name_Hall '-P 4 2ab'
loop_
_atom_site_label
_atom_site_type_symbol
_atom_site_fract_x
_atom_site_fract_y
_atom_site_fract_z
V1 V 0.1254 0.3746 0.0000
In1 In 0.1637 0.6637 0.5000
Sb1 Sb 0.0000 0.0000 0.0000

***

Entry 7:
# VInSb2 | the Alexandria database | PBE | optimized geometry
# Calculated density = 6.9 Mg/m³
# Fermi-level density of states = 0.7267 states/eV per atom
# ΔE_f (raw) = 38.9 meV/atom
data_VInSb2
_cell_length_a 3.3201
_cell_length_b 3.3201
_cell_length_c 31.0351
_cell_angle_alpha 90.00
_cell_angle_beta 90.00
_cell_angle_gamma 120.00
_symmetry_space_group_name_H-M 'R -3 m'
_symmetry_Int_Tables_number 166
_symmetry_space_group_name_Hall '-R 3 2"'
loop_
_atom_site_label
_atom_site_type_symbol
_atom_site_fract_x
_atom_site_fract_y
_atom_site_fract_z
V1 V 0.0000 0.0000 0.0000
In1 In 0.0000 0.0000 0.5000
Sb1 Sb 0.0000 0.0000 0.3958

***

Entry 8:
# VInSb2 | the Alexandria database | PBE | optimized geometry
# Calculated density = 7.2 Mg/m³
# Fermi-level density of states = 0.6834 states/eV per atom
# ΔE_f (raw) = 65.9 meV/atom
data_VInSb2
_cell_length_a 3.3813
_cell_length_b 3.3813
_cell_length_c 8.2604
_cell_angle_alpha 90.00
_cell_angle_beta 90.00
_cell_angle_gamma 90.00
_symmetry_space_group_name_H-M 'P 4/m m m'
_symmetry_Int_Tables_number 123
_symmetry_space_group_name_Hall '-P 4 2'
loop_
_atom_site_label
_atom_site_type_symbol
_atom_site_fract_x
_atom_site_fract_y
_atom_site_fract_z
V1 V 0.0000 0.0000 0.0000
In1 In 0.0000 0.0000 0.5000
Sb1 Sb 0.5000 0.5000 0.1936